# 1
VASP calculation (PBE) on a relaxed Nd2GdPb7 crystal.

Calculated density, g cm⁻³: 10.6
Crystal system: orthorhombic
Total energy, eV/f.u.: -44.27

```
10
Lattice="7.780 10.737 1.053 -9.633 -8.724 2.833 3.041 -2.471 2.730" Properties=species:S:1:pos:R:3 pbc="T T T"
Gd 0.000 0.000 0.000
Nd 4.517 7.089 1.386
Nd -6.369 -5.077 2.500
Pb 0.725 2.852 1.774
Pb -2.577 -0.839 2.112
Pb 7.636 7.641 2.588
Pb 4.196 3.796 2.939
Pb 0.595 -0.229 3.308
Pb -3.007 -4.255 3.676
Pb -6.447 -8.099 4.028
```

# 2
VASP calculation (PBE) on a relaxed NdGd2Pb7 crystal.

Calculated density, g cm⁻³: 10.8
Crystal system: orthorhombic
Total energy, eV/f.u.: -43.99

```
10
Lattice="2.384 -12.992 0.000 2.384 12.992 0.000 0.000 0.000 4.750" Properties=species:S:1:pos:R:3 pbc="T T T"
Gd 2.384 -8.091 0.000
Gd 2.384 8.091 0.000
Nd 0.000 0.000 0.000
Pb 2.384 -2.556 0.000
Pb 2.384 2.556 0.000
Pb 2.384 -10.418 2.375
Pb 2.384 -5.370 2.375
Pb 2.384 0.000 2.375
Pb 2.384 5.370 2.375
Pb 2.384 10.418 2.375
```

# 3
VASP calculation (PBE) on a relaxed Nd2GdPd3Pb3 crystal.

Calculated density, g cm⁻³: 10.6
Crystal system: orthorhombic
Total energy, eV/f.u.: -47.38

```
9
Lattice="4.083 0.000 0.000 0.000 6.775 3.925 0.000 -6.775 3.925" Properties=species:S:1:pos:R:3 pbc="T T T"
Gd 0.000 0.000 3.188
Nd 0.000 2.758 6.248
Nd 0.000 -2.758 6.248
Pb 2.041 1.755 1.023
Pb 2.041 -1.755 1.023
Pb 2.041 0.000 5.814
Pd 0.000 0.000 0.031
Pd 2.041 2.219 3.913
Pd 2.041 -2.219 3.913
```

# 4
VASP calculation (PBE) on a relaxed NdGdPd2Pb crystal.

Calculated density, g cm⁻³: 9.9
Crystal system: orthorhombic
Total energy, eV/f.u.: -27.42

```
5
Lattice="3.690 0.000 0.000 0.000 2.162 7.551 0.000 -2.162 7.551" Properties=species:S:1:pos:R:3 pbc="T T T"
Gd 0.000 0.000 9.594
Nd 0.000 0.000 5.540
Pb 1.845 0.000 0.022
Pd 1.845 0.000 2.890
Pd 1.845 0.000 12.157
```